# 1
Below is an optimized crystal structure of Rb2CdReSe6, with properties calculated at the PBE-GGA level.

Lattice parameters (Å, degrees): 4.508 4.508 15.634 90.00 90.00 90.00
Space group P4/mmm (No. 123)
Symmetry-distinct sites (fractional):
Rb 0.000 0.000 0.209 (multiplicity 2)
Cd 0.500 0.500 0.500 (multiplicity 1)
Re 0.500 0.500 0.000 (multiplicity 1)
Se 0.000 0.000 0.000 (multiplicity 1)
Se 0.000 0.000 0.500 (multiplicity 1)
Se 0.000 0.500 0.382 (multiplicity 4)

Theoretical density = 4.93 g cm⁻³
Volume = 31.77 Å³/atom
Total DFT energy (no corrections) = -31.27 eV for the cell shown


# 2
Below is an optimized crystal structure of HoCdNO, with properties calculated at the PBE-GGA level.

Lattice parameters (Å, degrees): 6.259 7.392 6.036 90.00 90.00 90.00
Space group Pca2_1 (No. 29)
Symmetry-distinct sites (fractional):
Ho 0.083 0.128 0.000 (multiplicity 4)
Cd 0.119 0.592 0.998 (multiplicity 4)
N 0.062 0.640 0.645 (multiplicity 4)
O 0.101 0.094 0.639 (multiplicity 4)

Theoretical density = 7.31 g cm⁻³
Volume = 17.45 Å³/atom
Total DFT energy (no corrections) = -97.00 eV for the cell shown


# 3
Below is an optimized crystal structure of Cs2HoErO4, with properties calculated at the PBE-GGA level.

Lattice parameters (Å, degrees): 3.5072 3.5072 13.5241 90.00 90.00 120.00
Space group P-3m1 (No. 164)
Symmetry-distinct sites (fractional):
Cs 0.3333 0.6667 0.2500 (multiplicity 2)
Ho 0.0000 0.0000 0.5000 (multiplicity 1)
Er 0.0000 0.0000 0.0000 (multiplicity 1)
O 0.3333 0.6667 0.5828 (multiplicity 2)
O 0.3333 0.6667 0.9173 (multiplicity 2)

Theoretical density = 7.63 g cm⁻³
Volume = 18.01 Å³/atom
Total DFT energy (no corrections) = -51.80 eV for the cell shown


# 4
Below is an optimized crystal structure of CoNiGe2, with properties calculated at the PBE-GGA level.

Lattice parameters (Å, degrees): 5.999 5.999 5.999 90.00 90.00 90.00
Space group F-43m (No. 216)
Symmetry-distinct sites (fractional):
Co 0.000 0.000 0.000 (multiplicity 4)
Ni 0.250 0.250 0.750 (multiplicity 4)
Ge 0.000 0.000 0.500 (multiplicity 4)
Ge 0.250 0.250 0.250 (multiplicity 4)

Theoretical density = 8.09 g cm⁻³
Volume = 13.50 Å³/atom
Total DFT energy (no corrections) = -83.80 eV for the cell shown


# 5
Below is an optimized crystal structure of Si3Sn2Pt2, with properties calculated at the PBE-GGA level.

Lattice parameters (Å, degrees): 4.5394 4.5394 15.0695 90.00 90.00 120.00
Space group P6_3/mmc (No. 194)
Symmetry-distinct sites (fractional):
Si 0.0000 0.0000 0.1687 (multiplicity 4)
Si 0.3333 0.6667 0.2500 (multiplicity 2)
Sn 0.3333 0.6667 0.5641 (multiplicity 4)
Pt 0.0000 0.0000 0.0000 (multiplicity 2)
Pt 0.3333 0.6667 0.7500 (multiplicity 2)

Theoretical density = 8.79 g cm⁻³
Volume = 19.21 Å³/atom
Total DFT energy (no corrections) = -73.96 eV for the cell shown


# 6
Below is an optimized crystal structure of TbPrNi2As4, with properties calculated at the PBE-GGA level.

Lattice parameters (Å, degrees): 3.974 3.974 9.751 90.00 90.00 90.00
Space group P4mm (No. 99)
Symmetry-distinct sites (fractional):
Tb 0.000 0.000 0.000 (multiplicity 1)
Pr 0.500 0.500 0.518 (multiplicity 1)
Ni 0.000 0.500 0.250 (multiplicity 2)
As 0.000 0.000 0.386 (multiplicity 1)
As 0.000 0.500 0.766 (multiplicity 2)
As 0.500 0.500 0.115 (multiplicity 1)

Theoretical density = 7.73 g cm⁻³
Volume = 19.25 Å³/atom
Total DFT energy (no corrections) = -46.20 eV for the cell shown